# 1
The following is a DFT calculation (PBE) of a geometry-optimized TbErTl6 structure.

Values from the calculation:
* VASP energy: -3.150 eV/atom
* DOS at the Fermi energy: 1.792 states/eV per cell
* energy of formation from the pure elements: -174 kJ/mol of formula units

POSCAR file:
```
TbErTl6
1.0
-1.392 3.883 -2.381
-1.598 -2.748 -3.547
-8.528 -0.475 4.211
Tb Er Tl
1 1 6
Direct
0.000 0.000 0.000 Tb
0.000 0.000 0.500 Er
0.500 0.500 0.000 Tl
0.500 0.500 0.500 Tl
0.500 0.000 0.251 Tl
0.500 0.000 0.749 Tl
0.000 0.500 0.251 Tl
0.000 0.500 0.749 Tl
```

---

# 2
The following is a DFT calculation (PBE) of a geometry-optimized LiMo3S4 structure.

Values from the calculation:
* VASP energy: -6.873 eV/atom
* DOS at the Fermi energy: 11.642 states/eV per cell
* formation energy from raw total energies: -0.508 eV/atom

POSCAR file:
```
LiMo3S4
1.0
-3.004 -3.694 -0.209
5.016 -3.983 -1.685
1.565 -1.773 8.850
Li Mo S
2 6 8
Direct
0.083 0.141 0.000 Li
0.583 0.859 0.500 Li
0.625 0.627 0.000 Mo
0.024 0.626 0.238 Mo
0.524 0.374 0.262 Mo
0.125 0.373 0.500 Mo
0.524 0.374 0.738 Mo
0.024 0.626 0.762 Mo
0.119 0.770 0.000 S
0.576 0.273 0.000 S
0.033 0.271 0.253 S
0.533 0.729 0.247 S
0.076 0.727 0.500 S
0.619 0.230 0.500 S
0.533 0.729 0.753 S
0.033 0.271 0.747 S
```

---

# 3
The following is a DFT calculation (PBE) of a geometry-optimized Ag2Sn2Te structure.

Values from the calculation:
* VASP energy: -3.213 eV/atom
* DOS at the Fermi energy: 2.676 states/eV per cell
* formation energy from raw total energies: 0.157 eV/atom
* energy above the lowest structure with this stoichiometry: 94 meV/atom

POSCAR file:
```
Ag2Sn2Te
1.0
-2.288 3.781 -0.336
-0.901 -0.923 -4.240
-7.014 -1.689 -0.458
Te Sn Ag
1 2 2
Direct
0.000 0.000 0.000 Te
0.750 0.250 0.500 Sn
0.250 0.750 0.500 Sn
0.397 0.397 0.207 Ag
0.603 0.603 0.793 Ag
```

---

# 4
The following is a DFT calculation (PBE) of a geometry-optimized KMnMo2 structure.

Values from the calculation:
* VASP energy: -6.984 eV/atom
* DOS at the Fermi energy: 2.719 states/eV per cell
* energy of formation from the pure elements: 385 kJ/mol of formula units
* energy above the lowest structure with this stoichiometry: 245 meV/atom

POSCAR file:
```
KMnMo2
1.0
-2.918 2.786 2.562
-1.942 0.547 4.332
5.134 4.264 2.565
K Mn Mo
1 1 2
Direct
0.509 0.509 0.494 K
0.271 0.271 0.102 Mn
0.992 0.992 0.023 Mo
0.728 0.728 0.882 Mo
```

---

# 5
The following is a DFT calculation (PBE) of a geometry-optimized TiGa2Ag2O6 structure.

Values from the calculation:
* VASP energy: -6.064 eV/atom
* formation energy from raw total energies: -1.573 eV/atom

POSCAR file:
```
TiGa2Ag2O6
1.0
5.163 0.032 -0.186
-2.524 4.504 -0.186
-1.204 -2.069 6.153
Ti Ga Ag O
1 2 2 6
Direct
0.000 0.000 0.500 Ti
0.334 0.666 0.500 Ga
0.666 0.334 0.500 Ga
0.818 0.182 0.000 Ag
0.182 0.818 0.000 Ag
0.765 0.765 0.674 O
0.091 0.423 0.673 O
0.235 0.235 0.326 O
0.423 0.091 0.673 O
0.909 0.577 0.327 O
0.577 0.909 0.327 O
```

---

# 6
The following is a DFT calculation (PBE) of a geometry-optimized RbNbCuO4 structure.

Values from the calculation:
* VASP energy: -6.718 eV/atom
* formation energy from raw total energies: -1.723 eV/atom

POSCAR file:
```
RbNbCuO4
1.0
-4.583 -2.753 -4.595
2.339 -5.039 0.686
-2.973 -0.505 6.431
Rb Nb Cu O
2 2 2 8
Direct
0.724 0.750 0.002 Rb
0.276 0.250 0.998 Rb
0.316 0.750 0.375 Nb
0.684 0.250 0.625 Nb
0.974 0.750 0.504 Cu
0.026 0.250 0.496 Cu
0.897 0.485 0.633 O
0.103 0.985 0.367 O
0.103 0.515 0.367 O
0.897 0.015 0.633 O
0.385 0.750 0.147 O
0.615 0.250 0.853 O
0.526 0.750 0.599 O
0.474 0.250 0.401 O
```

---

# 7
The following is a DFT calculation (PBE) of a geometry-optimized SiAs2P structure.

Values from the calculation:
* VASP energy: -4.462 eV/atom
* DOS at the Fermi energy: 2.285 states/eV per cell
* formation energy from raw total energies: 0.571 eV/atom
* energy above the lowest structure with this stoichiometry: 464 meV/atom

POSCAR file:
```
SiAs2P
1.0
3.216 0.000 0.000
0.000 4.666 0.000
0.000 0.000 4.517
As P Si
2 1 1
Direct
0.000 0.000 0.000 As
0.500 0.500 0.000 As
0.500 0.000 0.500 P
0.000 0.500 0.500 Si
```

---

# 8
The following is a DFT calculation (PBE) of a geometry-optimized Na3WBr7 structure.

Values from the calculation:
* VASP energy: -3.546 eV/atom
* DOS at the Fermi energy: 7.042 states/eV per cell
* formation energy from raw total energies: -0.944 eV/atom

POSCAR file:
```
Na3WBr7
1.0
8.627 0.001 0.000
-2.987 8.094 0.000
0.000 0.000 9.835
Na W Br
6 2 14
Direct
0.497 0.497 0.500 Na
0.503 0.503 0.000 Na
0.540 0.981 0.250 Na
0.460 0.019 0.750 Na
0.981 0.540 0.750 Na
0.019 0.460 0.250 Na
0.000 0.000 0.500 W
0.000 0.000 0.000 W
0.697 0.940 0.543 Br
0.303 0.060 0.043 Br
0.940 0.697 0.457 Br
0.060 0.303 0.957 Br
0.061 0.304 0.542 Br
0.939 0.696 0.042 Br
0.304 0.061 0.458 Br
0.696 0.939 0.958 Br
0.377 0.623 0.250 Br
0.623 0.377 0.750 Br
0.662 0.338 0.250 Br
0.338 0.662 0.750 Br
0.939 0.061 0.250 Br
0.061 0.939 0.750 Br
```

---

# 9
The following is a DFT calculation (PBE) of a geometry-optimized Ho4GeSeS2 structure.

Values from the calculation:
* VASP energy: -6.025 eV/atom
* DOS at the Fermi energy: 2.594 states/eV per cell
* formation energy from raw total energies: -1.691 eV/atom

POSCAR file:
```
Ho4GeSeS2
1.0
4.004 0.000 0.000
0.000 6.894 -0.119
0.000 2.445 6.521
Ho Ge Se S
4 1 1 2
Direct
0.000 0.753 0.756 Ho
0.000 0.247 0.244 Ho
0.500 0.760 0.236 Ho
0.500 0.240 0.764 Ho
0.500 0.500 0.000 Ge
0.000 0.500 0.500 Se
0.000 0.000 0.000 S
0.500 0.000 0.500 S
```

---

# 10
The following is a DFT calculation (PBE) of a geometry-optimized Tm3B9Os2 structure.

Values from the calculation:
* VASP energy: -7.068 eV/atom
* DOS at the Fermi energy: 5.586 states/eV per cell
* energy of formation from the pure elements: -288 kJ/mol of formula units

POSCAR file:
```
Tm3B9Os2
1.0
-1.487 2.786 0.264
-7.170 -2.203 1.892
-2.364 -0.157 7.364
Tm B Os
3 9 2
Direct
0.000 0.000 0.000 Tm
0.720 0.280 0.280 Tm
0.280 0.720 0.720 Tm
0.000 0.500 0.500 B
0.635 0.999 0.731 B
0.365 0.001 0.269 B
0.635 0.731 0.999 B
0.365 0.269 0.001 B
0.868 0.886 0.378 B
0.132 0.114 0.622 B
0.868 0.378 0.886 B
0.132 0.622 0.114 B
0.500 0.318 0.682 Os
0.500 0.682 0.318 Os
```

---

# 11
The following is a DFT calculation (PBE) of a geometry-optimized Ho2TlHg2 structure.

Values from the calculation:
* VASP energy: -2.792 eV/atom
* DOS at the Fermi energy: 6.802 states/eV per cell
* energy of formation from the pure elements: -177 kJ/mol of formula units

POSCAR file:
```
Ho2TlHg2
1.0
-2.765 2.722 0.008
-5.588 -5.671 -1.965
-1.366 -1.412 7.961
Ho Tl Hg
4 2 4
Direct
0.500 0.170 0.670 Ho
0.500 0.670 0.830 Ho
0.500 0.830 0.330 Ho
0.500 0.330 0.170 Ho
0.000 0.000 0.000 Tl
0.000 0.500 0.500 Tl
0.000 0.372 0.872 Hg
0.000 0.872 0.628 Hg
0.000 0.628 0.128 Hg
0.000 0.128 0.372 Hg
```

---

# 12
The following is a DFT calculation (PBE) of a geometry-optimized Ac3Tl4ZnS8 structure.

Values from the calculation:
* VASP energy: -4.620 eV/atom
* DOS at the Fermi energy: 9.755 states/eV per cell
* formation energy from raw total energies: -1.115 eV/atom

POSCAR file:
```
Ac3Tl4ZnS8
1.0
8.521 0.000 0.000
0.000 8.786 0.143
-4.261 -4.281 6.179
Ac Tl Zn S
3 4 1 8
Direct
0.500 0.500 0.000 Ac
0.500 0.500 0.500 Ac
0.000 0.500 0.500 Ac
0.500 0.000 0.000 Tl
0.500 0.000 0.500 Tl
0.000 0.000 0.000 Tl
0.000 0.000 0.500 Tl
0.000 0.500 0.000 Zn
0.210 0.697 0.980 S
0.251 0.734 0.502 S
0.263 0.280 0.525 S
0.770 0.697 0.980 S
0.230 0.303 0.020 S
0.737 0.720 0.475 S
0.749 0.266 0.498 S
0.790 0.303 0.020 S
```